# 1
ErNpGa2 after structural relaxation, computed with PBE-GGA.

Results
- DFT total energy: -6.113 eV/atom
- Relative energy among the computed polymorphs: 0.032 eV/atom
- Formation enthalpy at 0 K: -22 kJ/mol of atoms
- Total moment: 1.04 μB/atom

Unit cell a=5.0891 b=5.0891 c=3.4363 alpha=90.00 beta=90.00 gamma=90.00
Last column: nearest neighbours and their distance in Å.
Fractional coordinates of all 4 atoms:
Er  0.0000  0.0000  0.0000  8 Ga 3.07, 2 Er 3.44
Np  0.5000  0.5000  0.0000  8 Ga 3.07, 2 Np 3.44
Ga  0.0000  0.5000  0.5000  4 Er 3.07, 4 Np 3.07, 2 Ga 3.44
Ga  0.5000  0.0000  0.5000  4 Er 3.07, 4 Np 3.07, 2 Ga 3.44

# 2
ErNp2Ga9 after structural relaxation, computed with PBE-GGA.

Results
- DFT total energy: -5.122 eV/atom
- Relative energy among the computed polymorphs: 0.000 eV/atom
- Formation enthalpy at 0 K: -30 kJ/mol of atoms
- Total moment: 0.64 μB/atom

Unit cell a=4.2531 b=4.2531 c=12.8046 alpha=90.00 beta=90.00 gamma=90.00
Last column: nearest neighbours and their distance in Å.
Fractional coordinates of all 12 atoms:
Er  0.0000  0.0000  0.0000  12 Ga 3.01
Np  0.0000  0.0000  0.3316  12 Ga 3.00-3.03
Np  0.0000  0.0000  0.6684  12 Ga 3.00-3.03
Ga  0.0000  0.5000  0.1668  2 Np 3.00, 8 Ga 3.01-3.02, 2 Er 3.01
Ga  0.0000  0.5000  0.5000  8 Ga 3.00-3.01, 4 Np 3.03
Ga  0.0000  0.5000  0.8332  2 Np 3.00, 8 Ga 3.01-3.02, 2 Er 3.01
Ga  0.5000  0.0000  0.1668  2 Np 3.00, 8 Ga 3.01-3.02, 2 Er 3.01
Ga  0.5000  0.0000  0.5000  8 Ga 3.00-3.01, 4 Np 3.03
Ga  0.5000  0.0000  0.8332  2 Np 3.00, 8 Ga 3.01-3.02, 2 Er 3.01
Ga  0.5000  0.5000  0.0000  4 Er 3.01, 8 Ga 3.01
Ga  0.5000  0.5000  0.3346  8 Ga 3.00-3.02, 4 Np 3.01
Ga  0.5000  0.5000  0.6654  8 Ga 3.00-3.02, 4 Np 3.01

# 3
Er2GaO after structural relaxation, computed with PBE-GGA.

Results
- DFT total energy: -5.558 eV/atom
- Energy relative to the elements, uncorrected: -1280 meV per atom
- Total moment: 0.00 μB/atom

Unit cell a=7.7170 b=7.7170 c=7.7170 alpha=31.88 beta=31.88 gamma=31.88
Last column: nearest neighbours and their distance in Å.
Fractional coordinates of all 4 atoms:
Er  0.0915  0.0915  0.0915  1 O 2.01
Er  0.9085  0.9085  0.9085  1 O 2.01
Ga  0.5000  0.5000  0.5000  6 Er 2.95
O  0.0000  0.0000  0.0000  2 Er 2.01

# 4
ErGaO2 after structural relaxation, computed with PBE-GGA.

Results
- DFT total energy: -6.751 eV/atom
- Energy relative to the elements, uncorrected: -2375 meV per atom
- Total moment: 0.00 μB/atom

Unit cell a=6.7525 b=6.7525 c=6.7525 alpha=29.28 beta=29.28 gamma=29.28
Last column: nearest neighbours and their distance in Å.
Fractional coordinates of all 4 atoms:
Er  0.0000  0.0000  0.0000  6 O 2.26
Ga  0.5000  0.5000  0.5000  2 O 2.12
O  0.3904  0.3904  0.3904  1 Ga 2.12, 3 Er 2.26
O  0.6096  0.6096  0.6096  1 Ga 2.12, 3 Er 2.26

# 5
Er4Ga2O after structural relaxation, computed with PBE-GGA.

Results
- DFT total energy: -5.355 eV/atom
- Energy relative to the elements, uncorrected: -1175 meV per atom
- Total moment: 0.00 μB/atom

Unit cell a=8.3994 b=8.3994 c=8.3994 alpha=148.93 beta=148.93 gamma=44.51
Last column: nearest neighbours and their distance in Å.
Fractional coordinates of all 7 atoms:
Er  0.0000  0.5000  0.5000  2 O 2.25
Er  0.1753  0.1753  0.0000  1 O 2.73, 1 Ga 2.94
Er  0.5000  0.0000  0.5000  2 O 2.25
Er  0.8247  0.8247  0.0000  1 O 2.73, 1 Ga 2.94
Ga  0.3645  0.3645  0.0000  9 Er 2.94-3.24
Ga  0.6355  0.6355  0.0000  9 Er 2.94-3.24
O  0.0000  0.0000  0.0000  4 Er 2.25

# 6
ErGa2OsO8 after structural relaxation, computed with PBE-GGA.

Results
- DFT total energy: -6.873 eV/atom
- Energy relative to the elements, uncorrected: -1747 meV per atom
- Total moment: 0.08 μB/atom

Unit cell a=4.7104 b=6.3466 c=4.7158 alpha=90.00 beta=91.24 gamma=90.00
Last column: nearest neighbours and their distance in Å.
Fractional coordinates of all 12 atoms:
Er  0.0000  0.0000  0.0000  6 O 2.14-2.25
Ga  0.5000  0.2361  0.5000  4 O 1.94-1.99
Ga  0.5000  0.7639  0.5000  4 O 1.94-1.99
Os  0.0000  0.5000  0.0000  6 O 1.91
O  0.2034  0.2847  0.2017  1 Os 1.91, 1 Ga 1.99
O  0.2034  0.7153  0.2017  1 Os 1.91, 1 Ga 1.99
O  0.2825  0.5000  0.7160  1 Os 1.91
O  0.3163  0.0000  0.6819  2 Ga 1.94, 1 Er 2.14
O  0.6837  0.0000  0.3181  2 Ga 1.94, 1 Er 2.14
O  0.7175  0.5000  0.2840  1 Os 1.91
O  0.7966  0.2847  0.7983  1 Os 1.91, 1 Ga 1.99
O  0.7966  0.7153  0.7983  1 Os 1.91, 1 Ga 1.99